This record from Alexandria via LeMat-Bulk describes crystalline AcNdMg2Cd4 at its relaxed geometry. The functional is PBE.

Results
E_form = -298 meV per atom
DOS at the Fermi energy = 3.0 states/eV/f.u.

Cell lengths 5.2868, 5.2868, 26.1135 Å; angles 90.00, 90.00, 120.00 degrees
Space group R-3m (No. 166, hexagonal axes)
One atom of each set of equivalent atoms:
Ac 0.0000 0.0000 0.0000 (multiplicity 3)
Nd 0.0000 0.0000 0.5000 (multiplicity 3)
Mg 0.0000 0.0000 0.2484 (multiplicity 6)
Cd 0.0000 0.0000 0.1284 (multiplicity 6)
Cd 0.0000 0.0000 0.3795 (multiplicity 6)

=====

This record from Alexandria via LeMat-Bulk describes crystalline PuPa2Au at its relaxed geometry. The functional is PBE.

Results
E_form = -31 meV per atom
DOS at the Fermi energy = 7.2 states/eV/f.u.
E above lowest polymorph = 0.55 eV/f.u.

Cell lengths 3.592, 3.592, 7.300 Å; angles 90.00, 90.00, 90.00 degrees
Space group P4/mmm (No. 123)
One atom of each set of equivalent atoms:
Pu 0.000 0.000 0.000 (multiplicity 1)
Pa 0.500 0.500 0.245 (multiplicity 2)
Au 0.000 0.000 0.500 (multiplicity 1)

=====

This record from Alexandria via LeMat-Bulk describes crystalline ScRu2Pt at its relaxed geometry. The functional is PBE.

Results
E_form = -269 meV per atom
DOS at the Fermi energy = 4.9 states/eV/f.u.

Cell lengths 9.196, 2.856, 4.867 Å; angles 90.00, 100.80, 90.00 degrees
Space group C2/m (No. 12)
One atom of each set of equivalent atoms:
Sc 0.000 0.000 0.000 (multiplicity 2)
Ru 0.245 0.000 0.728 (multiplicity 4)
Pt 0.000 0.500 0.500 (multiplicity 2)

=====

This record from Alexandria via LeMat-Bulk describes crystalline LaMo2Se at its relaxed geometry. The functional is PBE.

Results
DOS at the Fermi energy = 3.1 states/eV/f.u.
E_form (uncorrected) = -0.19 eV/atom

Cell lengths 4.3400, 4.3400, 16.1858 Å; angles 90.00, 90.00, 120.00 degrees
Space group R3m (No. 160, hexagonal axes)
One atom of each set of equivalent atoms:
La 0.0000 0.0000 0.0000 (multiplicity 3)
Mo 0.0000 0.0000 0.2051 (multiplicity 3)
Mo 0.0000 0.0000 0.5027 (multiplicity 3)
Se 0.0000 0.0000 0.7871 (multiplicity 3)

=====

This record from Alexandria via LeMat-Bulk describes crystalline Rb2PmZnF6 at its relaxed geometry. The functional is PBE.

Results
DOS at the Fermi energy = 1.9 states/eV/f.u.
E_form (uncorrected) = -2.88 eV/atom

Cell lengths 6.579, 9.264, 6.580 Å; angles 90.00, 90.00, 90.00 degrees
Space group Pmmn (No. 59, origin choice 2)
One atom of each set of equivalent atoms:
Rb 0.250 0.000 0.246 (multiplicity 4)
Pm 0.250 0.250 0.754 (multiplicity 2)
Zn 0.250 0.750 0.757 (multiplicity 2)
F 0.000 0.250 0.993 (multiplicity 4)
F 0.013 0.250 0.508 (multiplicity 4)
F 0.250 0.006 0.775 (multiplicity 4)

=====

This record from Alexandria via LeMat-Bulk describes crystalline AcTb2Tm3 at its relaxed geometry. The functional is PBE.

Results
E_form = 112 meV per atom
DOS at the Fermi energy = 10.2 states/eV/f.u.

Cell lengths 9.094, 9.889, 9.000 Å; angles 90.00, 102.02, 90.00 degrees
Space group C2/c (No. 15)
One atom of each set of equivalent atoms:
Ac 0.000 0.079 0.250 (multiplicity 4)
Tb 0.124 0.256 0.626 (multiplicity 8)
Tm 0.000 0.422 0.250 (multiplicity 4)
Tm 0.236 0.412 0.996 (multiplicity 8)

=====

This record from Alexandria via LeMat-Bulk describes crystalline LaCd2Ag at its relaxed geometry. The functional is PBE.

Results
E_form = -193 meV per atom
DOS at the Fermi energy = 3.3 states/eV/f.u.

Cell lengths 3.457, 3.607, 7.828 Å; angles 90.00, 90.00, 90.00 degrees
Space group Pmmm (No. 47)
One atom of each set of equivalent atoms:
La 0.000 0.000 0.000 (multiplicity 1)
Cd 0.500 0.500 0.296 (multiplicity 2)
Ag 0.000 0.000 0.500 (multiplicity 1)

=====

This record from Alexandria via LeMat-Bulk describes crystalline Ba2HgPbAu6 at its relaxed geometry. The functional is PBE.

Results
E_form = -214 meV per atom
DOS at the Fermi energy = 3.3 states/eV/f.u.

Cell lengths 10.760, 10.760, 10.760 Å; angles 90.00, 90.00, 90.00 degrees
Space group Fm-3m (No. 225)
One atom of each set of equivalent atoms:
Ba 0.250 0.250 0.250 (multiplicity 8)
Hg 0.000 0.000 0.000 (multiplicity 4)
Pb 0.000 0.000 0.500 (multiplicity 4)
Au 0.000 0.000 0.247 (multiplicity 24)